# 1
# ScTa2Pt, optimized geometry, DFT GGA-PBEsol
data_ScTa2Pt
_cell_length_a 6.486
_cell_length_b 6.486
_cell_length_c 6.486
_cell_angle_alpha 90.00
_cell_angle_beta 90.00
_cell_angle_gamma 90.00
_space_group_name_H-M_alt 'F -4 3 m'
_space_group_IT_number 216
_space_group_name_Hall 'F -4 2 3'
loop_
_atom_site_label
_atom_site_fract_x
_atom_site_fract_y
_atom_site_fract_z
Sc1 0.000 0.000 0.000
Ta1 0.000 0.000 0.500
Ta2 0.250 0.250 0.250
Pt1 0.250 0.250 0.750
# polymorph energy (0 for the lowest one) = 0 meV/atom
# calculated volume = 68.2 Å³/f.u.
# ΔH_f (0 K) = -27.7 kJ per mole of atoms
# final energy = -9.9543 eV per atom
# D(E_F) = 5.00 states/eV/f.u.
# magnetization = 0.00 μB/f.u.



# 2
# ScTa2Pt, optimized geometry, DFT GGA-PBEsol
data_ScTa2Pt
_cell_length_a 2.844
_cell_length_b 4.500
_cell_length_c 5.461
_cell_angle_alpha 90.00
_cell_angle_beta 90.00
_cell_angle_gamma 90.00
_space_group_name_H-M_alt 'P m m m'
_space_group_IT_number 47
loop_
_space_group_symop_operation_xyz
'x,y,z'
'-x,-y,-z'
'-x,-y,z'
'x,y,-z'
'x,-y,-z'
'-x,y,z'
'-x,y,-z'
'x,-y,z'
loop_
_atom_site_label
_atom_site_fract_x
_atom_site_fract_y
_atom_site_fract_z
Sc1 0.000 0.000 0.000
Ta1 0.500 0.500 0.249
Pt1 0.000 0.000 0.500
# polymorph energy (0 for the lowest one) = 164 meV/atom
# calculated volume = 69.9 Å³/f.u.
# ΔH_f (0 K) = -11.8 kJ per mole of atoms
# final energy = -9.7899 eV per atom
# D(E_F) = 4.76 states/eV/f.u.
# magnetization = 0.00 μB/f.u.



# 3
# ScTa3Pt, optimized geometry, DFT GGA-PBEsol
data_ScTa3Pt
_cell_length_a 4.862
_cell_length_b 4.862
_cell_length_c 4.862
_cell_angle_alpha 90.00
_cell_angle_beta 90.00
_cell_angle_gamma 90.00
_space_group_name_H-M_alt 'P m -3 m'
_space_group_IT_number 221
_space_group_name_Hall '-P 4 2 3'
loop_
_atom_site_label
_atom_site_fract_x
_atom_site_fract_y
_atom_site_fract_z
Sc1 0.000 0.000 0.000
Ta1 0.000 0.500 0.500
Pt1 0.500 0.500 0.500
# polymorph energy (0 for the lowest one) = 0 meV/atom
# calculated volume = 114.9 Å³/f.u.
# ΔH_f (0 K) = 99.6 kJ per mole of atoms
# final energy = -9.2122 eV per atom
# D(E_F) = 7.82 states/eV/f.u.
# magnetization = 0.00 μB/f.u.



# 4
# ScTc2Pt, optimized geometry, DFT GGA-PBEsol
data_ScTc2Pt
_cell_length_a 4.054
_cell_length_b 4.054
_cell_length_c 7.412
_cell_angle_alpha 90.00
_cell_angle_beta 90.00
_cell_angle_gamma 90.00
_space_group_name_H-M_alt 'I -4 m 2'
_space_group_IT_number 119
_space_group_name_Hall 'I -4 -2'
loop_
_atom_site_label
_atom_site_fract_x
_atom_site_fract_y
_atom_site_fract_z
Sc1 0.000 0.000 0.000
Tc1 0.000 0.000 0.500
Tc2 0.000 0.500 0.250
Pt1 0.000 0.500 0.750
# calculated volume = 60.9 Å³/f.u.
# ΔH_f (0 K) = -23.4 kJ per mole of atoms
# final energy = -9.2674 eV per atom
# D(E_F) = 5.07 states/eV/f.u.
# magnetization = 0.00 μB/f.u.



# 5
# Sc2TcPt, optimized geometry, DFT GGA-PBEsol
data_Sc2TcPt
_cell_length_a 6.409
_cell_length_b 6.409
_cell_length_c 6.409
_cell_angle_alpha 90.00
_cell_angle_beta 90.00
_cell_angle_gamma 90.00
_space_group_name_H-M_alt 'F m -3 m'
_space_group_IT_number 225
_space_group_name_Hall '-F 4 2 3'
loop_
_atom_site_label
_atom_site_fract_x
_atom_site_fract_y
_atom_site_fract_z
Sc1 0.250 0.250 0.250
Tc1 0.000 0.000 0.000
Pt1 0.000 0.000 0.500
# polymorph energy (0 for the lowest one) = 0 meV/atom
# calculated volume = 65.8 Å³/f.u.
# ΔH_f (0 K) = -69.2 kJ per mole of atoms
# final energy = -8.5774 eV per atom
# D(E_F) = 2.16 states/eV/f.u.
# magnetization = 0.00 μB/f.u.



# 6
# ScTc3Pt, optimized geometry, DFT GGA-PBEsol
data_ScTc3Pt
_cell_length_a 4.670
_cell_length_b 4.670
_cell_length_c 4.670
_cell_angle_alpha 90.00
_cell_angle_beta 90.00
_cell_angle_gamma 90.00
_space_group_name_H-M_alt 'P m -3 m'
_space_group_IT_number 221
_space_group_name_Hall '-P 4 2 3'
loop_
_atom_site_label
_atom_site_fract_x
_atom_site_fract_y
_atom_site_fract_z
Sc1 0.000 0.000 0.000
Tc1 0.000 0.500 0.500
Pt1 0.500 0.500 0.500
# calculated volume = 101.9 Å³/f.u.
# ΔH_f (0 K) = 150.4 kJ per mole of atoms
# final energy = -7.9144 eV per atom
# D(E_F) = 6.90 states/eV/f.u.
# magnetization = 0.00 μB/f.u.



# 7
# Sc2TcPt, optimized geometry, DFT GGA-PBEsol
data_Sc2TcPt
_cell_length_a 3.519
_cell_length_b 3.519
_cell_length_c 5.678
_cell_angle_alpha 90.00
_cell_angle_beta 90.00
_cell_angle_gamma 90.00
_space_group_name_H-M_alt 'P 4 m m'
_space_group_IT_number 99
loop_
_space_group_symop_operation_xyz
'x,y,z'
'-y,x,z'
'-x,-y,z'
'y,-x,z'
'-x,y,z'
'y,x,z'
'x,-y,z'
'-y,-x,z'
loop_
_atom_site_label
_atom_site_fract_x
_atom_site_fract_y
_atom_site_fract_z
Sc1 0.000 0.000 0.000
Sc2 0.500 0.500 0.335
Tc1 0.000 0.000 0.513
Pt1 0.500 0.500 0.819
# polymorph energy (0 for the lowest one) = 407 meV/atom
# calculated volume = 70.3 Å³/f.u.
# ΔH_f (0 K) = -30.0 kJ per mole of atoms
# final energy = -8.1709 eV per atom
# D(E_F) = 4.15 states/eV/f.u.
# magnetization = 0.00 μB/f.u.



# 8
# Sc2TcPt, optimized geometry, DFT GGA-PBEsol
data_Sc2TcPt
_cell_length_a 3.246
_cell_length_b 3.246
_cell_length_c 6.348
_cell_angle_alpha 90.00
_cell_angle_beta 90.00
_cell_angle_gamma 90.00
_space_group_name_H-M_alt 'P 4/m m m'
_space_group_IT_number 123
_space_group_name_Hall '-P 4 2'
loop_
_atom_site_label
_atom_site_fract_x
_atom_site_fract_y
_atom_site_fract_z
Sc1 0.000 0.000 0.244
Tc1 0.500 0.500 0.000
Pt1 0.500 0.500 0.500
# polymorph energy (0 for the lowest one) = 18 meV/atom
# calculated volume = 66.9 Å³/f.u.
# ΔH_f (0 K) = -67.4 kJ per mole of atoms
# final energy = -8.5590 eV per atom
# D(E_F) = 3.91 states/eV/f.u.
# magnetization = 0.00 μB/f.u.